(1)
A geometry-optimized MnGaCoRe structure. Source: Alexandria, functional GGA-PBE.

a b c (Å): 2.704 4.305 4.425
angles (deg): 90.00 90.00 90.00
Atoms (fractional coordinates):
Mn 0.000 0.000 0.000
Ga 0.500 0.500 0.146
Co 0.000 0.500 0.666
Re 0.500 0.000 0.507

Polymorph energy (0 for the lowest one), meV per atom: 21
Energy of formation from the pure elements, eV per atom: -0.006

***

(2)
A geometry-optimized MnGaCoRe structure. Source: Alexandria, functional GGA-PBE.

a b c (Å): 4.011 2.648 9.698
angles (deg): 90.00 90.00 90.00
Atoms (fractional coordinates):
Mn 0.000 0.000 0.000
Mn 0.000 0.500 0.500
Ga 0.000 0.000 0.737
Ga 0.000 0.500 0.237
Co 0.500 0.000 0.140
Co 0.500 0.500 0.640
Re 0.500 0.000 0.397
Re 0.500 0.500 0.897

Polymorph energy (0 for the lowest one), meV per atom: 65
Energy of formation from the pure elements, eV per atom: 0.039

***

(3)
A geometry-optimized MnGaCoRe structure. Source: Alexandria, functional GGA-PBE.

a b c (Å): 8.859 2.726 4.368
angles (deg): 90.00 102.21 90.00
Atoms (fractional coordinates):
Mn 0.000 0.000 0.000
Mn 0.500 0.500 0.000
Ga 0.248 0.000 0.793
Ga 0.748 0.500 0.793
Co 0.246 0.500 0.289
Co 0.746 0.000 0.289
Re 0.487 0.000 0.483
Re 0.987 0.500 0.483

Polymorph energy (0 for the lowest one), meV per atom: 46
Energy of formation from the pure elements, eV per atom: 0.019

***

(4)
A geometry-optimized MnGaCoRe structure. Source: Alexandria, functional GGA-PBE.

a b c (Å): 3.023 4.124 4.176
angles (deg): 90.00 90.00 90.00
Atoms (fractional coordinates):
Mn 0.000 0.000 0.000
Ga 0.000 0.500 0.500
Co 0.500 0.000 0.500
Re 0.500 0.500 0.000

Polymorph energy (0 for the lowest one), meV per atom: 71
Energy of formation from the pure elements, eV per atom: 0.044

***

(5)
A geometry-optimized MnGaCoRe structure. Source: Alexandria, functional GGA-PBE.

a b c (Å): 5.905 5.905 5.905
angles (deg): 90.00 90.00 90.00
Atoms (fractional coordinates):
Mn 0.000 0.000 0.000
Mn 0.000 0.500 0.500
Mn 0.500 0.000 0.500
Mn 0.500 0.500 0.000
Ga 0.000 0.000 0.500
Ga 0.000 0.500 0.000
Ga 0.500 0.000 0.000
Ga 0.500 0.500 0.500
Co 0.250 0.250 0.750
Co 0.250 0.750 0.250
Co 0.750 0.250 0.250
Co 0.750 0.750 0.750
Re 0.250 0.250 0.250
Re 0.250 0.750 0.750
Re 0.750 0.250 0.750
Re 0.750 0.750 0.250

Polymorph energy (0 for the lowest one), meV per atom: 0
Energy of formation from the pure elements, eV per atom: -0.026

***

(6)
A geometry-optimized Sc2Mn2GaCo5 structure. Source: Alexandria, functional GGA-PBE.

a b c (Å): 8.622 8.622 3.634
angles (deg): 90.00 90.00 90.00
Atoms (fractional coordinates):
Sc 0.179 0.321 0.000
Sc 0.321 0.821 0.000
Sc 0.679 0.179 0.000
Sc 0.821 0.679 0.000
Mn 0.119 0.619 0.000
Mn 0.381 0.119 0.000
Mn 0.619 0.881 0.000
Mn 0.881 0.381 0.000
Ga 0.000 0.000 0.000
Ga 0.500 0.500 0.000
Co 0.000 0.500 0.500
Co 0.060 0.798 0.500
Co 0.202 0.060 0.500
Co 0.298 0.560 0.500
Co 0.440 0.298 0.500
Co 0.500 0.000 0.500
Co 0.560 0.702 0.500
Co 0.702 0.440 0.500
Co 0.798 0.940 0.500
Co 0.940 0.202 0.500

Energy of formation from the pure elements, eV per atom: -0.087

***

(7)
A geometry-optimized MnGaCoSi structure. Source: Alexandria, functional GGA-PBE.

a b c (Å): 5.677 5.677 5.677
angles (deg): 90.00 90.00 90.00
Atoms (fractional coordinates):
Mn 0.000 0.000 0.000
Mn 0.000 0.500 0.500
Mn 0.500 0.000 0.500
Mn 0.500 0.500 0.000
Ga 0.250 0.250 0.750
Ga 0.250 0.750 0.250
Ga 0.750 0.250 0.250
Ga 0.750 0.750 0.750
Co 0.000 0.000 0.500
Co 0.000 0.500 0.000
Co 0.500 0.000 0.000
Co 0.500 0.500 0.500
Si 0.250 0.250 0.250
Si 0.250 0.750 0.750
Si 0.750 0.250 0.750
Si 0.750 0.750 0.250

Uncorrected formation energy, meV/atom: -245

***

(8)
A geometry-optimized SrMnGa2Co structure. Source: Alexandria, functional GGA-PBE.

a b c (Å): 5.812 5.812 4.884
angles (deg): 90.00 90.00 90.00
Atoms (fractional coordinates):
Sr 0.000 0.000 0.000
Mn 0.500 0.500 0.500
Ga 0.000 0.500 0.000
Ga 0.500 0.000 0.000
Co 0.000 0.000 0.500

Energy of formation from the pure elements, eV per atom: 1.600

***

(9)
A geometry-optimized Tb2MnGa2Co5 structure. Source: Alexandria, functional GGA-PBE.

a b c (Å): 9.499 9.499 3.341
angles (deg): 90.00 90.00 90.00
Atoms (fractional coordinates):
Tb 0.174 0.326 0.000
Tb 0.326 0.826 0.000
Tb 0.674 0.174 0.000
Tb 0.826 0.674 0.000
Mn 0.000 0.000 0.000
Mn 0.500 0.500 0.000
Ga 0.124 0.624 0.000
Ga 0.376 0.124 0.000
Ga 0.624 0.876 0.000
Ga 0.876 0.376 0.000
Co 0.000 0.500 0.500
Co 0.059 0.803 0.500
Co 0.197 0.059 0.500
Co 0.303 0.559 0.500
Co 0.441 0.303 0.500
Co 0.500 0.000 0.500
Co 0.559 0.697 0.500
Co 0.697 0.441 0.500
Co 0.803 0.941 0.500
Co 0.941 0.197 0.500

Energy of formation from the pure elements, eV per atom: -0.106

***

(10)
A geometry-optimized Th2MnGa2Co5 structure. Source: Alexandria, functional GGA-PBE.

a b c (Å): 9.756 9.756 3.365
angles (deg): 90.00 90.00 90.00
Atoms (fractional coordinates):
Th 0.176 0.324 0.000
Th 0.324 0.824 0.000
Th 0.676 0.176 0.000
Th 0.824 0.676 0.000
Mn 0.000 0.000 0.000
Mn 0.500 0.500 0.000
Ga 0.121 0.621 0.000
Ga 0.379 0.121 0.000
Ga 0.621 0.879 0.000
Ga 0.879 0.379 0.000
Co 0.000 0.500 0.500
Co 0.060 0.796 0.500
Co 0.204 0.060 0.500
Co 0.296 0.560 0.500
Co 0.440 0.296 0.500
Co 0.500 0.000 0.500
Co 0.560 0.704 0.500
Co 0.704 0.440 0.500
Co 0.796 0.940 0.500
Co 0.940 0.204 0.500

Energy of formation from the pure elements, eV per atom: -0.088

***

(11)
A geometry-optimized TiMnGaCo structure. Source: Alexandria, functional GGA-PBE.

a b c (Å): 3.110 3.997 4.059
angles (deg): 90.00 90.00 90.00
Atoms (fractional coordinates):
Ti 0.000 0.000 0.000
Mn 0.500 0.500 0.000
Ga 0.000 0.500 0.500
Co 0.500 0.000 0.500

Energy of formation from the pure elements, eV per atom: -0.348

***

(12)
A geometry-optimized TmMnGa5Co2 structure. Source: Alexandria, functional GGA-PBE.

a b c (Å): 4.598 4.598 6.983
angles (deg): 90.00 90.00 90.00
Atoms (fractional coordinates):
Tm 0.000 0.000 0.000
Mn 0.000 0.000 0.500
Ga 0.000 0.500 0.301
Ga 0.000 0.500 0.699
Ga 0.500 0.000 0.301
Ga 0.500 0.000 0.699
Ga 0.500 0.500 0.000
Co 0.500 0.500 0.326
Co 0.500 0.500 0.674

Energy of formation from the pure elements, eV per atom: -0.088